# 1
Compound: CeMoOs
Source: Alexandria via LeMat-Bulk
Functional: GGA-PBE
Structure: optimized geometry

a = 3.0610 Å, b = 3.0610 Å, c = 6.4988 Å
α = 103.62°, β = 103.62°, γ = 90.00°
Sites, in units of the cell vectors:
Mo 0.3064 0.3064 0.6127
Os 0.6903 0.6903 0.3805
Ce 0.0034 0.0034 0.0067

Output
N(E_F)	4.21	states/eV/f.u.
space group	I4mm
energy of formation from the pure elements	0.061	eV/atom
energy above the most stable polymorph in this dataset	155	meV per atom

# 2
Compound: HfGaCu2O
Source: Alexandria via LeMat-Bulk
Functional: GGA-PBE
Structure: optimized geometry

a = 4.2481 Å, b = 5.1808 Å, c = 4.2481 Å
α = 90.00°, β = 90.00°, γ = 90.00°
Sites, in units of the cell vectors:
O 0.5000 0.5000 0.5000
Cu 0.5000 0.0000 0.0000
Cu 0.0000 0.0000 0.5000
Ga 0.0000 0.0000 0.0000
Hf 0.0000 0.5000 0.0000

Output
N(E_F)	2.61	states/eV/f.u.
uncorrected formation energy	0.698	eV/atom
space group	P4/mmm

# 3
Compound: SmEu2Mg
Source: Alexandria via LeMat-Bulk
Functional: GGA-PBE
Structure: optimized geometry

a = 5.2163 Å, b = 5.1353 Å, c = 5.1353 Å
α = 90.00°, β = 90.00°, γ = 90.00°
Site moments in Bohr magnetons follow the coordinates.
Sites, in units of the cell vectors:
Sm 0.5000 0.5000 0.5000  0.26
Eu 0.0000 0.0000 0.5000  6.97
Eu 0.0000 0.5000 0.0000  6.97
Mg 0.5000 0.0000 0.0000  0.01

Output
N(E_F)	5.95	states/eV/f.u.
space group	P4/mmm
energy of formation from the pure elements	0.064	eV/atom
energy above the most stable polymorph in this dataset	38	meV per atom

Q: Which value of N(E_F) does entry 1 give?
A: 4.21 states/eV/f.u.